Compound: Li2Fe3SnO8
Source: Alexandria via LeMat-Bulk
Functional: PBE with a Hubbard U
Structure: optimized geometry

Properties
calculated density	4.70	g/cm3
energy relative to the lowest polymorph listed for this composition	208.1	meV/atom

abc: 5.9470 5.9470 5.9470
angles: 60.80 60.80 60.80
Element x y z (fractional)
Li (0.0000, 0.0000, 0.0000)
Li (0.3797, 0.3797, 0.3797)
Fe (0.3803, 0.3803, 0.8966)
Fe (0.3803, 0.8966, 0.3803)
Fe (0.8966, 0.3803, 0.3803)
Sn (0.7736, 0.7736, 0.7736)
O (0.1327, 0.1327, 0.5912)
O (0.1327, 0.5912, 0.1327)
O (0.1357, 0.1357, 0.1357)
O (0.1795, 0.6271, 0.6271)
O (0.5912, 0.1327, 0.1327)
O (0.6271, 0.1795, 0.6271)
O (0.6271, 0.6271, 0.1795)
O (0.6345, 0.6345, 0.6345)